Entry 1:
The following is a PBE-GGA calculation of NiBi after structural relaxation, from the Open Quantum Materials Database.

abc: 4.069 3.387 5.993
angles: 90.00 90.00 90.00
Fractional coordinates of all 4 atoms:
Bi (0.250, 0.000, 0.244)
Bi (0.750, 0.000, 0.756)
Ni (0.750, 0.500, 0.382)
Ni (0.250, 0.500, 0.618)

Results
Mass density ... 10.76 Mg/m³
Calculated volume ... 20.64 Å³ per atom
Magnetic moment ... 0.00 Bohr magnetons per cell
Final energy ... -9.4 eV per formula unit

Entry 2:
The following is a PBE-GGA calculation of Nb2Cu3W4N3 after structural relaxation, from the Open Quantum Materials Database.

abc: 5.072 5.072 14.030
angles: 100.49 100.49 60.04
Fractional coordinates of all 24 atoms:
Cu (0.964, 0.584, 0.249)
Cu (0.863, 0.137, 0.250)
Cu (0.416, 0.036, 0.251)
Cu (0.584, 0.964, 0.749)
Cu (0.137, 0.863, 0.750)
Cu (0.036, 0.416, 0.751)
N (0.000, 0.500, 0.000)
N (0.652, 0.196, 0.000)
N (0.804, 0.348, 0.500)
N (0.500, 0.000, 0.500)
N (0.196, 0.652, 0.500)
N (0.348, 0.804, 0.000)
Nb (0.370, 0.540, 0.116)
Nb (0.460, 0.630, 0.384)
Nb (0.540, 0.370, 0.616)
Nb (0.630, 0.460, 0.884)
W (0.696, 0.870, 0.091)
W (0.037, 0.192, 0.091)
W (0.808, 0.963, 0.409)
W (0.130, 0.304, 0.409)
W (0.870, 0.696, 0.591)
W (0.192, 0.037, 0.591)
W (0.963, 0.808, 0.909)
W (0.304, 0.130, 0.909)

Results
Mass density ... 12.54 Mg/m³
Calculated volume ... 12.74 Å³ per atom
Magnetic moment ... 0.00 Bohr magnetons per cell
Final energy ... -108.9 eV per formula unit

Entry 3:
The following is a PBE-GGA calculation of BePdAu after structural relaxation, from the Open Quantum Materials Database.

abc: 5.371 5.371 5.371
angles: 149.20 149.20 44.11
Fractional coordinates of all 3 atoms:
Au (0.353, 0.353, 0.000)
Be (0.008, 0.008, 0.000)
Pd (0.639, 0.639, 0.000)

Results
Mass density ... 12.81 Mg/m³
Calculated volume ... 13.50 Å³ per atom
Relative energy among the computed polymorphs ... 0.000 eV per atom

Entry 4:
The following is a PBE-GGA calculation of NdRe after structural relaxation, from the Open Quantum Materials Database.

abc: 4.205 4.205 4.205
angles: 60.00 60.00 60.00
Fractional coordinates of all 2 atoms:
Nd (0.000, 0.000, 0.000)
Re (0.500, 0.500, 0.500)

Results
Mass density ... 10.44 Mg/m³
ΔE_f ... 3.006 eV per formula unit
Calculated volume ... 26.28 Å³ per atom
Magnetic moment ... 2.01 Bohr magnetons per cell
Relative energy among the computed polymorphs ... 0.437 eV per atom

Entry 5:
The following is a PBE-GGA calculation of Y3Cu2Ni7 after structural relaxation, from the Open Quantum Materials Database.

abc: 8.592 8.592 8.592
angles: 33.89 33.89 33.89
Fractional coordinates of all 12 atoms:
Cu (0.334, 0.334, 0.334)
Cu (0.666, 0.666, 0.666)
Ni (0.584, 0.584, 0.082)
Ni (0.918, 0.416, 0.416)
Ni (0.416, 0.918, 0.416)
Ni (0.500, 0.500, 0.500)
Ni (0.584, 0.082, 0.584)
Ni (0.082, 0.584, 0.584)
Ni (0.416, 0.416, 0.918)
Y (0.000, 0.000, 0.000)
Y (0.139, 0.139, 0.139)
Y (0.861, 0.861, 0.861)

Results
Mass density ... 7.60 Mg/m³
ΔE_f ... -4.608 eV per formula unit
Calculated volume ... 14.65 Å³ per atom
Magnetic moment ... 0.00 Bohr magnetons per cell

Entry 6:
The following is a PBE-GGA calculation of Tb3In3Cu2Au after structural relaxation, from the Open Quantum Materials Database.

abc: 7.583 7.583 4.009
angles: 90.00 90.00 120.00
Fractional coordinates of all 9 atoms:
Au (0.000, 0.000, 0.000)
Cu (0.667, 0.333, 0.500)
Cu (0.333, 0.667, 0.500)
In (0.268, 0.000, 0.500)
In (0.000, 0.268, 0.500)
In (0.732, 0.732, 0.500)
Tb (0.592, 0.000, 0.000)
Tb (0.408, 0.408, 0.000)
Tb (0.000, 0.592, 0.000)

Results
Mass density ... 9.52 Mg/m³
Calculated volume ... 22.19 Å³ per atom
Magnetic moment ... 0.01 Bohr magnetons per cell
Final energy ... -37.3 eV per formula unit

Entry 7:
The following is a PBE-GGA calculation of Tb3Mg3Tl2Ga after structural relaxation, from the Open Quantum Materials Database.

abc: 7.540 7.540 4.556
angles: 90.00 90.00 120.00
Fractional coordinates of all 9 atoms:
Ga (0.000, 0.000, 0.000)
Mg (0.237, 0.000, 0.500)
Mg (0.000, 0.237, 0.500)
Mg (0.763, 0.763, 0.500)
Tb (0.584, 0.000, 0.000)
Tb (0.416, 0.416, 0.000)
Tb (0.000, 0.584, 0.000)
Tl (0.667, 0.333, 0.500)
Tl (0.333, 0.667, 0.500)

Results
Mass density ... 7.61 Mg/m³
Calculated volume ... 24.92 Å³ per atom
Magnetic moment ... 0.00 Bohr magnetons per cell
Final energy ... -29.7 eV per formula unit

Entry 8:
The following is a PBE-GGA calculation of AlHgMo2 after structural relaxation, from the Open Quantum Materials Database.

abc: 4.555 4.555 4.555
angles: 60.00 60.00 60.00
Fractional coordinates of all 4 atoms:
Al (0.500, 0.500, 0.500)
Hg (0.250, 0.250, 0.250)
Mo (0.000, 0.000, 0.000)
Mo (0.750, 0.750, 0.750)

Results
Mass density ... 10.42 Mg/m³
Calculated volume ... 16.71 Å³ per atom
Magnetic moment ... 0.01 Bohr magnetons per cell
Final energy ... -24.2 eV per formula unit

Entry 9:
The following is a PBE-GGA calculation of Rb2PtSeS after structural relaxation, from the Open Quantum Materials Database.

abc: 6.601 6.601 6.601
angles: 146.88 79.22 110.45
Fractional coordinates of all 5 atoms:
Pt (0.011, 0.011, 0.000)
Rb (0.689, 0.493, 0.195)
Rb (0.298, 0.493, 0.805)
S (0.211, 0.711, 0.500)
Se (0.791, 0.291, 0.500)

Results
Mass density ... 5.50 Mg/m³
Calculated volume ... 28.81 Å³ per atom
Magnetic moment ... 0.00 Bohr magnetons per cell
Final energy ... -20.1 eV per formula unit

Entry 10:
The following is a PBE-GGA calculation of CsNbPb after structural relaxation, from the Open Quantum Materials Database.

abc: 5.554 5.554 5.554
angles: 60.00 60.00 60.00
Fractional coordinates of all 3 atoms:
Cs (0.000, 0.000, 0.000)
Nb (0.250, 0.250, 0.250)
Pb (0.750, 0.750, 0.750)

Results
Mass density ... 5.93 Mg/m³
Calculated volume ... 40.39 Å³ per atom
Magnetic moment ... 2.99 Bohr magnetons per cell
Final energy ... -8.8 eV per formula unit

Entry 11:
The following is a PBE-GGA calculation of NaTl2Pd2 after structural relaxation, from the Open Quantum Materials Database.

abc: 6.946 6.946 6.946
angles: 143.80 143.80 52.13
Fractional coordinates of all 5 atoms:
Na (0.000, 0.000, 0.000)
Pd (0.750, 0.250, 0.500)
Pd (0.250, 0.750, 0.500)
Tl (0.384, 0.384, 0.000)
Tl (0.616, 0.616, 0.000)

Results
Mass density ... 9.21 Mg/m³
Calculated volume ... 23.25 Å³ per atom
Relative energy among the computed polymorphs ... 0.080 eV per atom

Entry 12:
The following is a PBE-GGA calculation of LiDyP4O12 after structural relaxation, from the Open Quantum Materials Database.

abc: 6.964 8.761 8.787
angles: 96.19 113.34 113.42
Fractional coordinates of all 36 atoms:
Dy (0.546, 0.250, 0.250)
Dy (0.454, 0.750, 0.750)
Li (0.046, 0.250, 0.250)
Li (0.954, 0.750, 0.750)
O (0.708, 0.815, 0.047)
O (0.042, 0.759, 0.077)
O (0.736, 0.220, 0.085)
O (0.321, 0.639, 0.151)
O (0.138, 0.075, 0.198)
O (0.490, 0.972, 0.238)
O (0.780, 0.528, 0.262)
O (0.364, 0.425, 0.302)
O (0.032, 0.861, 0.349)
O (0.931, 0.280, 0.415)
O (0.706, 0.741, 0.423)
O (0.347, 0.685, 0.453)
O (0.653, 0.315, 0.547)
O (0.294, 0.259, 0.577)
O (0.069, 0.720, 0.585)
O (0.968, 0.139, 0.651)
O (0.636, 0.575, 0.698)
O (0.220, 0.472, 0.738)
O (0.510, 0.028, 0.762)
O (0.862, 0.925, 0.802)
O (0.679, 0.361, 0.849)
O (0.264, 0.780, 0.915)
O (0.958, 0.241, 0.923)
O (0.292, 0.185, 0.953)
P (0.301, 0.802, 0.097)
P (0.970, 0.885, 0.160)
P (0.425, 0.615, 0.340)
P (0.902, 0.698, 0.403)
P (0.098, 0.302, 0.597)
P (0.575, 0.385, 0.660)
P (0.030, 0.115, 0.840)
P (0.699, 0.198, 0.903)

Results
Mass density ... 3.76 Mg/m³
Calculated volume ... 11.91 Å³ per atom
Magnetic moment ... 0.01 Bohr magnetons per cell
Final energy ... -131.8 eV per formula unit

Entry 13:
The following is a PBE-GGA calculation of La2PrAl2Ni4 after structural relaxation, from the Open Quantum Materials Database.

abc: 5.556 5.556 8.371
angles: 98.28 98.28 44.29
Fractional coordinates of all 9 atoms:
Al (0.322, 0.322, 0.212)
Al (0.678, 0.678, 0.788)
La (0.625, 0.625, 0.381)
La (0.375, 0.375, 0.619)
Ni (0.736, 0.736, 0.086)
Ni (0.915, 0.915, 0.363)
Ni (0.085, 0.085, 0.637)
Ni (0.264, 0.264, 0.914)
Pr (0.000, 0.000, 0.000)

Results
Mass density ... 6.59 Mg/m³
Calculated volume ... 19.81 Å³ per atom
Magnetic moment ... 0.00 Bohr magnetons per cell
Final energy ... -48.7 eV per formula unit

Entry 14:
The following is a PBE-GGA calculation of TeIr9 after structural relaxation, from the Open Quantum Materials Database.

abc: 2.774 2.774 50.035
angles: 90.00 90.00 90.00
Fractional coordinates of all 20 atoms:
Ir (0.500, 0.000, 0.177)
Ir (0.000, 0.500, 0.214)
Ir (0.500, 0.000, 0.252)
Ir (0.000, 0.500, 0.290)
Ir (0.500, 0.000, 0.328)
Ir (0.000, 0.500, 0.367)
Ir (0.500, 0.000, 0.405)
Ir (0.000, 0.500, 0.443)
Ir (0.500, 0.000, 0.481)
Ir (0.000, 0.500, 0.519)
Ir (0.500, 0.000, 0.557)
Ir (0.000, 0.500, 0.595)
Ir (0.500, 0.000, 0.633)
Ir (0.000, 0.500, 0.672)
Ir (0.500, 0.000, 0.710)
Ir (0.000, 0.500, 0.748)
Ir (0.500, 0.000, 0.786)
Ir (0.000, 0.500, 0.823)
Te (0.000, 0.500, 0.133)
Te (0.500, 0.000, 0.867)

Results
Mass density ... 16.02 Mg/m³
Calculated volume ... 19.25 Å³ per atom
Magnetic moment ... 0.01 Bohr magnetons per cell
Relative energy among the computed polymorphs ... 0.057 eV per atom

Entry 15:
The following is a PBE-GGA calculation of TbHoTa2Si2 after structural relaxation, from the Open Quantum Materials Database.

abc: 4.001 4.001 7.767
angles: 90.00 90.00 90.00
Fractional coordinates of all 6 atoms:
Ho (0.000, 0.000, 0.648)
Si (0.000, 0.000, 0.238)
Si (0.500, 0.500, 0.760)
Ta (0.500, 0.000, 0.999)
Ta (0.000, 0.500, 0.999)
Tb (0.500, 0.500, 0.354)

Results
Mass density ... 9.91 Mg/m³
Calculated volume ... 20.72 Å³ per atom
Magnetic moment ... 1.01 Bohr magnetons per cell
Final energy ... -47.4 eV per formula unit

Entry 16:
The following is a PBE-GGA calculation of YZrNp after structural relaxation, from the Open Quantum Materials Database.

abc: 4.879 4.879 4.879
angles: 60.00 60.00 60.00
Fractional coordinates of all 3 atoms:
Np (0.250, 0.250, 0.250)
Y (0.000, 0.000, 0.000)
Zr (0.750, 0.750, 0.750)

Results
Mass density ... 8.43 Mg/m³
ΔE_f ... 4.083 eV per formula unit
Calculated volume ... 27.38 Å³ per atom
Magnetic moment ... 5.28 Bohr magnetons per cell

Entry 17:
The following is a PBE-GGA calculation of Cu5P2 after structural relaxation, from the Open Quantum Materials Database.

abc: 8.619 5.198 9.451
angles: 64.66 33.03 82.31
Fractional coordinates of all 14 atoms:
Cu (0.697, 0.766, 0.052)
Cu (0.261, 0.799, 0.225)
Cu (0.535, 0.025, 0.451)
Cu (0.765, 0.198, 0.484)
Cu (0.766, 0.697, 0.485)
Cu (0.496, 0.496, 0.504)
Cu (0.198, 0.765, 0.553)
Cu (0.799, 0.261, 0.715)
Cu (0.746, 0.746, 0.754)
Cu (0.025, 0.535, 0.989)
P (0.316, 0.309, 0.063)
P (0.309, 0.316, 0.312)
P (0.187, 0.938, 0.934)
P (0.938, 0.187, 0.941)

Results
Mass density ... 6.80 Mg/m³
Calculated volume ... 13.25 Å³ per atom
Final energy ... -28.6 eV per formula unit

Entry 18:
The following is a PBE-GGA calculation of Tb3Cd3InGa2 after structural relaxation, from the Open Quantum Materials Database.

abc: 7.334 7.334 4.496
angles: 90.00 90.00 120.00
Fractional coordinates of all 9 atoms:
Cd (0.255, 0.000, 0.500)
Cd (0.000, 0.255, 0.500)
Cd (0.745, 0.745, 0.500)
Ga (0.667, 0.333, 0.500)
Ga (0.333, 0.667, 0.500)
In (0.000, 0.000, 0.000)
Tb (0.564, 0.000, 0.000)
Tb (0.436, 0.436, 0.000)
Tb (0.000, 0.564, 0.000)

Results
Mass density ... 8.47 Mg/m³
Calculated volume ... 23.27 Å³ per atom
Magnetic moment ... 0.01 Bohr magnetons per cell
Final energy ... -29.8 eV per formula unit

Entry 19:
The following is a PBE-GGA calculation of BaTmAgTe2S after structural relaxation, from the Open Quantum Materials Database.

abc: 9.271 4.379 9.650
angles: 90.00 107.20 90.00
Fractional coordinates of all 12 atoms:
Ag (0.916, 0.750, 0.410)
Ag (0.084, 0.250, 0.590)
Ba (0.213, 0.250, 0.279)
Ba (0.787, 0.750, 0.721)
S (0.778, 0.250, 0.466)
S (0.222, 0.750, 0.534)
Te (0.899, 0.750, 0.119)
Te (0.453, 0.750, 0.168)
Te (0.547, 0.250, 0.832)
Te (0.101, 0.250, 0.881)
Tm (0.687, 0.250, 0.176)
Tm (0.313, 0.750, 0.824)

Results
Mass density ... 6.22 Mg/m³
Calculated volume ... 31.19 Å³ per atom
Magnetic moment ... 0.01 Bohr magnetons per cell
Relative energy among the computed polymorphs ... 0.048 eV per atom

Entry 20:
The following is a PBE-GGA calculation of CdCu2SnSe2S2 after structural relaxation, from the Open Quantum Materials Database.

abc: 6.969 6.964 5.756
angles: 65.64 65.55 48.81
Fractional coordinates of all 8 atoms:
Cd (0.991, 0.991, 0.009)
Cu (0.260, 0.260, 0.240)
Cu (0.760, 0.760, 0.740)
S (0.117, 0.599, 0.401)
S (0.599, 0.117, 0.883)
Se (0.885, 0.393, 0.115)
Se (0.393, 0.885, 0.607)
Sn (0.494, 0.494, 0.506)

Results
Mass density ... 5.14 Mg/m³
Calculated volume ... 23.42 Å³ per atom
Relative energy among the computed polymorphs ... 0.004 eV per atom